Here is a relaxed Co10B3Sb crystal from the Alexandria database. Energies are from GGA-PBE. Values from VASP.

```
&SYSTEM
  ibrav = 0, nat = 28, ntyp = 3
/
ATOMIC_SPECIES
Co 58.93 Co.upf
B 10.81 B.upf
Sb 121.76 Sb.upf
CELL_PARAMETERS angstrom
1.403 4.622 5.651
-1.661 -2.024 6.957
5.443 -1.562 4.816
ATOMIC_POSITIONS crystal
Co 0.000 0.000 0.332
Co 0.000 0.332 0.000
Co 0.332 0.000 0.000
Co 0.668 0.332 0.000
Co 0.384 0.384 0.384
Co 0.151 0.616 0.616
Co 0.384 0.849 0.384
Co 0.668 0.000 0.332
Co 0.384 0.384 0.849
Co 0.849 0.384 0.384
Co 0.616 0.616 0.151
Co 0.000 0.000 0.668
Co 0.332 0.668 0.000
Co 0.000 0.668 0.332
Co 0.000 0.332 0.668
Co 0.668 0.000 0.000
Co 0.616 0.616 0.616
Co 0.000 0.668 0.000
Co 0.616 0.151 0.616
Co 0.332 0.000 0.668
B 0.724 0.724 0.276
B 0.724 0.276 0.724
B 0.276 0.724 0.724
B 0.276 0.276 0.724
B 0.724 0.276 0.276
B 0.276 0.724 0.276
Sb 0.250 0.250 0.250
Sb 0.750 0.750 0.750
```

Summary:
mass density	8501	kg/m3
uncorrected formation energy	-0.154	eV/atom